1.
A relaxed structure of MgZrRe2Bi. Source: Alexandria, functional PBE.

a = 4.820 Å, b = 4.820 Å, c = 5.302 Å
α = 90.00°, β = 90.00°, γ = 90.00°
Space group P4/mmm (No. 123)
Asymmetric unit:
Mg  0.000  0.000  0.000
Zr  0.000  0.000  0.500
Re  0.000  0.500  0.500
Bi  0.500  0.500  0.000

Properties
calculated volume: 123 Å³/cell
DFT formation energy: 41.2 kcal/mol of atoms

***

2.
A relaxed structure of MgZr2ReBi. Source: Alexandria, functional PBE.

a = 5.042 Å, b = 5.042 Å, c = 4.647 Å
α = 90.00°, β = 90.00°, γ = 90.00°
Space group P4/mmm (No. 123)
Asymmetric unit:
Mg  0.000  0.000  0.000
Zr  0.000  0.500  0.000
Re  0.000  0.000  0.500
Bi  0.500  0.500  0.500

Properties
calculated volume: 118 Å³/cell
DFT formation energy: 27.7 kcal/mol of atoms

***

3.
A relaxed structure of MgBi4Rh2. Source: Alexandria, functional PBE.

a = 4.5986 Å, b = 4.5986 Å, c = 28.6873 Å
α = 90.00°, β = 90.00°, γ = 120.00°
Space group R-3m (No. 166, hexagonal axes)
Asymmetric unit:
Mg  0.0000  0.0000  0.0000
Bi  0.0000  0.0000  0.2028
Bi  0.0000  0.0000  0.3890
Rh  0.0000  0.0000  0.0950

Properties
calculated volume: 525 Å³/cell
DFT formation energy: -5.0 kcal/mol of atoms